Arrangement a

Density functional theory data (PBE-GGA) for an optimized crystal structure of K2CdFe2.

The structure belongs to space group I4/mmm (No. 139); the cell edges are 6.552, 6.552 and 7.558 Å and the angles 90.00°, 90.00° and 90.00°. The asymmetric unit holds K at (0.000, 0.500, 0.250), Cd at (0.000, 0.000, 0.000) and Fe at (0.000, 0.000, 0.362).

Arrangement b

Density functional theory data (PBE-GGA) for an optimized crystal structure of K2CdFe2.

The structure belongs to space group P4/mbm (No. 127); the cell edges are 9.844, 9.844 and 3.022 Å and the angles 90.00°, 90.00° and 90.00°. The asymmetric unit holds K at (0.207, 0.293, 0.000), Cd at (0.000, 0.000, 0.500) and Fe at (0.076, 0.576, 0.500).

Winner for stability: arrangement a

Arrangement a

Density functional theory data (PBE-GGA) for an optimized crystal structure of KCdFe2Te.

The structure belongs to space group P4/mmm (No. 123); the cell edges are 4.857, 4.857 and 5.992 Å and the angles 90.00°, 90.00° and 90.00°. The asymmetric unit holds K at (0.000, 0.000, 0.000), Cd at (0.500, 0.500, 0.500), Fe at (0.000, 0.500, 0.000) and Te at (0.000, 0.000, 0.500).

Arrangement b

Density functional theory data (PBE-GGA) for an optimized crystal structure of KCdFe2Te.

The structure belongs to space group P4/mmm (No. 123); the cell edges are 4.910, 4.910 and 6.403 Å and the angles 90.00°, 90.00° and 90.00°. The asymmetric unit holds K at (0.000, 0.000, 0.000), Cd at (0.500, 0.500, 0.000), Fe at (0.000, 0.500, 0.500) and Te at (0.000, 0.000, 0.500).

Winner for stability: arrangement b

Arrangement a

Density functional theory data (PBE-GGA) for an optimized crystal structure of La2TlCdFe.

The structure belongs to space group P4/mmm (No. 123); the cell edges are 5.099, 5.099 and 5.235 Å and the angles 90.00°, 90.00° and 90.00°. The asymmetric unit holds La at (0.000, 0.500, 0.000), Tl at (0.000, 0.000, 0.500), Cd at (0.500, 0.500, 0.500) and Fe at (0.500, 0.500, 0.000).

Arrangement b

Density functional theory data (PBE-GGA) for an optimized crystal structure of La2TlCdFe.

The structure belongs to space group P4/mmm (No. 123); the cell edges are 5.185, 5.185 and 5.182 Å and the angles 90.00°, 90.00° and 90.00°. The asymmetric unit holds La at (0.000, 0.500, 0.000), Tl at (0.000, 0.000, 0.500), Cd at (0.500, 0.500, 0.500) and Fe at (0.000, 0.000, 0.000).

Winner for stability: arrangement b